First-principles (PBE-GGA) data for a geometry-optimized PrScH2Cl4 structure, as listed in OQMD.

a = 3.739 Å, b = 3.739 Å, c = 13.275 Å
α = 90.00°, β = 90.00°, γ = 120.00°
Positions (direct):
Cl 0.333 0.667 0.123
Cl 0.667 0.333 0.641
Cl 0.333 0.667 0.877
Cl 0.667 0.333 0.359
Pr 0.000 0.000 0.500
H 0.333 0.667 0.500
H 0.667 0.333 0.000
Sc 0.000 0.000 0.000

Summary:
Total magnetization   0.00 Bohr magnetons per cell
Total DFT energy (no corrections)   -4.76 eV per atom